16
Lattice="-1.8759 -5.2692 -3.0957 2.0436 -1.7978 5.7843 -6.7495 4.1994 1.3374" Properties=species:S:1:pos:R:3 comment="RbPaMnO5 PBE with a Hubbard U relaxed" vol_a3_per_atom=17.57 magmom_total_mub_per_fu=3.0 final_energy_ev_per_atom=-7.6524 pbc="T T T"
Pa 0.0000 0.0000 0.0000
Pa -3.3747 2.0997 0.6687
Rb -0.9404 -1.8964 3.1810
Rb -5.6413 -0.9712 0.8451
O -4.6755 1.7290 4.9995
O -1.9063 -4.5966 -0.9735
O -1.0079 -1.9251 0.3788
O 0.0950 -0.9794 5.5268
O -6.6767 -1.8882 -1.5007
O -5.5739 -0.9425 3.6472
O -2.7353 -3.5171 1.7637
O -3.6666 -2.4661 -1.0294
O -2.9152 -0.4015 5.0554
O -3.8464 0.6495 2.2624
Mn -4.2489 0.2620 3.9997
Mn -2.3328 -3.1296 0.0263